# 1
# PBE Cs2TmAg2Te4, relaxed
# - V: 321.7 Å³ per cell
# - Formation energy without anion corrections: -7.6 eV per formula unit
# - Uncorrected energy: -32.080 eV for the cell shown
# - Space-group type: C2/m
data_Cs2TmAg2Te4
_chemical_formula_sum 'Cs2 Tm1 Ag2 Te4'
_cell_length_a 4.440
_cell_length_b 9.153
_cell_length_c 8.607
_cell_angle_alpha 107.22
_cell_angle_beta 104.95
_cell_angle_gamma 90.00
_space_group_name_H-M_alt 'P 1'
_space_group_IT_number 1
loop_
_space_group_symop_operation_xyz
'x,y,z'
loop_
_atom_site_label
_atom_site_type_symbol
_atom_site_fract_x
_atom_site_fract_y
_atom_site_fract_z
Te1 Te 0.514 0.777 0.028
Te2 Te 0.192 0.179 0.383
Te3 Te 0.808 0.821 0.617
Te4 Te 0.486 0.223 0.972
Tm1 Tm 0.000 0.000 0.000
Cs1 Cs 0.868 0.435 0.736
Cs2 Cs 0.132 0.565 0.264
Ag1 Ag 0.682 0.980 0.365
Ag2 Ag 0.318 0.020 0.635


# 2
# PBE CsTm3Ag2Te6, relaxed
# - V: 423.1 Å³ per cell
# - Formation energy without anion corrections: -12.3 eV per formula unit
# - Uncorrected energy: -51.097 eV for the cell shown
# - Space-group type: C2/m
data_CsTm3Ag2Te6
_chemical_formula_sum 'Cs1 Tm3 Ag2 Te6'
_cell_length_a 4.454
_cell_length_b 9.492
_cell_length_c 10.950
_cell_angle_alpha 110.54
_cell_angle_beta 101.73
_cell_angle_gamma 90.00
_space_group_name_H-M_alt 'P 1'
_space_group_IT_number 1
loop_
_space_group_symop_operation_xyz
'x,y,z'
loop_
_atom_site_label
_atom_site_type_symbol
_atom_site_fract_x
_atom_site_fract_y
_atom_site_fract_z
Te1 Te 0.023 0.724 0.046
Te2 Te 0.977 0.276 0.954
Te3 Te 0.660 0.583 0.321
Te4 Te 0.678 0.062 0.355
Te5 Te 0.340 0.417 0.679
Te6 Te 0.322 0.938 0.645
Cs1 Cs 0.500 0.000 0.000
Tm1 Tm 0.500 0.500 0.000
Tm2 Tm 0.827 0.165 0.654
Tm3 Tm 0.173 0.835 0.346
Ag1 Ag 0.743 0.392 0.485
Ag2 Ag 0.257 0.608 0.515


# 3
# PBE CsTmAgTe3, relaxed
# - V: 437.9 Å³ per cell
# - Formation energy without anion corrections: -5.5 eV per formula unit
# - Uncorrected energy: -46.144 eV for the cell shown
# - Space-group type: Cmcm
data_CsTmAgTe3
_chemical_formula_sum 'Cs2 Tm2 Ag2 Te6'
_cell_length_a 4.305
_cell_length_b 9.231
_cell_length_c 11.334
_cell_angle_alpha 90.00
_cell_angle_beta 90.00
_cell_angle_gamma 103.48
_space_group_name_H-M_alt 'P 1'
_space_group_IT_number 1
loop_
_space_group_symop_operation_xyz
'x,y,z'
loop_
_atom_site_label
_atom_site_type_symbol
_atom_site_fract_x
_atom_site_fract_y
_atom_site_fract_z
Tm1 Tm 0.000 0.000 0.500
Tm2 Tm 0.000 0.000 0.000
Te1 Te 0.069 0.139 0.750
Te2 Te 0.382 0.764 0.545
Te3 Te 0.382 0.764 0.955
Te4 Te 0.618 0.236 0.455
Te5 Te 0.931 0.861 0.250
Te6 Te 0.618 0.236 0.045
Cs1 Cs 0.754 0.507 0.750
Cs2 Cs 0.246 0.493 0.250
Ag1 Ag 0.467 0.934 0.750
Ag2 Ag 0.533 0.066 0.250


# 4
# PBE Cs2U2AgTe6, relaxed
# - V: 461.6 Å³ per cell
# - Formation energy without anion corrections: -7.5 eV per formula unit
# - Uncorrected energy: -53.512 eV for the cell shown
# - Space-group type: C2/m
data_Cs2U2AgTe6
_chemical_formula_sum 'Cs2 U2 Ag1 Te6'
_cell_length_a 7.603
_cell_length_b 7.603
_cell_length_c 9.432
_cell_angle_alpha 97.49
_cell_angle_beta 97.49
_cell_angle_gamma 118.84
_space_group_name_H-M_alt 'P 1'
_space_group_IT_number 1
loop_
_space_group_symop_operation_xyz
'x,y,z'
loop_
_atom_site_label
_atom_site_type_symbol
_atom_site_fract_x
_atom_site_fract_y
_atom_site_fract_z
U1 U 0.668 0.332 0.500
U2 U 0.332 0.668 0.500
Te1 Te 0.704 0.704 0.691
Te2 Te 0.063 0.399 0.685
Te3 Te 0.399 0.063 0.685
Te4 Te 0.601 0.937 0.315
Te5 Te 0.937 0.601 0.315
Te6 Te 0.296 0.296 0.309
Cs1 Cs 0.836 0.164 0.000
Cs2 Cs 0.164 0.836 0.000
Ag1 Ag 0.000 0.000 0.500


Which of these has the lowest formation energy without anion corrections?
CsTm3Ag2Te6


Which value of formation energy without anion corrections does entry 4 give?
-7.5 eV per formula unit